Ta4Mo2As3C3: optimized geometry, PBE.

Geometry as POSCAR:
```
Ta4Mo2As3C3
1.0
4.935 -2.850 0.000
4.935 2.850 0.000
-3.309 0.000 12.020
Ta Mo As C
8 4 6 6
Direct
0.025 0.206 0.096 Ta
0.142 0.300 0.404 Ta
0.206 0.025 0.596 Ta
0.300 0.142 0.904 Ta
0.700 0.858 0.096 Ta
0.794 0.975 0.404 Ta
0.858 0.700 0.596 Ta
0.975 0.794 0.904 Ta
0.371 0.530 0.088 Mo
0.470 0.629 0.412 Mo
0.530 0.371 0.588 Mo
0.629 0.470 0.912 Mo
0.098 0.902 0.250 As
0.265 0.417 0.749 As
0.417 0.265 0.249 As
0.583 0.735 0.751 As
0.735 0.583 0.251 As
0.902 0.098 0.750 As
0.000 0.500 0.000 C
0.154 0.672 0.500 C
0.328 0.846 0.000 C
0.500 0.000 0.500 C
0.672 0.154 0.000 C
0.846 0.328 0.500 C
```

Properties
VASP energy ... -231.38 eV per cell
Size of the total moment ... 0.001 Bohr magnetons per cell
Volume ... 169 Å³/f.u.
Density ... 11.55 g/cm³